# 1
Below is a relaxed Ce6In2TcOs crystal, with properties calculated at the GGA-PBE level.

## Properties
The formation energy from the elements comes out at -0.101 eV per atom.

a = 7.5407 Å, b = 7.5407 Å, c = 7.5407 Å
α = 60.00°, β = 60.00°, γ = 60.00°
Positions (direct):
Ce: 0.2482 0.2482 0.7518
Ce: 0.2482 0.7518 0.2482
Ce: 0.2482 0.7518 0.7518
Ce: 0.7518 0.2482 0.2482
Ce: 0.7518 0.2482 0.7518
Ce: 0.7518 0.7518 0.2482
In: 0.2500 0.2500 0.2500
In: 0.7500 0.7500 0.7500
Tc: 0.0000 0.0000 0.0000
Os: 0.5000 0.5000 0.5000


# 2
Below is a relaxed Cs2TmThSe4 crystal, with properties calculated at the GGA-PBE level.

## Properties
The formation energy (no corrections) comes out at -1.6044 eV/atom.

a = 7.3885 Å, b = 4.2591 Å, c = 8.7863 Å
α = 90.00°, β = 106.13°, γ = 90.00°
Positions (direct):
Cs: 0.0000 0.0000 0.0000
Cs: 0.5000 0.5000 0.0000
Tm: 0.0000 0.5000 0.5000
Th: 0.5000 0.0000 0.5000
Se: 0.2223 0.0000 0.6856
Se: 0.2609 0.5000 0.3082
Se: 0.7391 0.5000 0.6918
Se: 0.7777 0.0000 0.3144


# 3
Below is a relaxed TaSiSn2H crystal, with properties calculated at the GGA-PBE level.

## Properties
As for the total energy: -4.891 eV/atom.

a = 5.3697 Å, b = 5.3697 Å, c = 4.9303 Å
α = 90.00°, β = 90.00°, γ = 90.00°
Positions (direct):
Ta: 0.0000 0.0000 0.0000
Si: 0.0000 0.0000 0.5000
Sn: 0.0000 0.5000 0.0000
Sn: 0.5000 0.0000 0.0000
H: 0.5000 0.5000 0.5000


# 4
Below is a relaxed Tb4In3Rh crystal, with properties calculated at the GGA-PBE level.

## Properties
The formation energy from the elements comes out at -0.573 eV per atom.

a = 3.5393 Å, b = 3.5393 Å, c = 16.1041 Å
α = 90.00°, β = 90.00°, γ = 90.00°
Positions (direct):
Tb: 0.0000 0.0000 0.1023
Tb: 0.0000 0.0000 0.3685
Tb: 0.0000 0.0000 0.6315
Tb: 0.0000 0.0000 0.8977
In: 0.5000 0.5000 0.2379
In: 0.5000 0.5000 0.5000
In: 0.5000 0.5000 0.7621
Rh: 0.5000 0.5000 0.0000


# 5
Below is a relaxed LaYAs2C crystal, with properties calculated at the GGA-PBE level.

## Properties
The formation energy from the elements comes out at 1.452 eV per atom.

a = 5.2583 Å, b = 5.2583 Å, c = 6.2690 Å
α = 90.00°, β = 90.00°, γ = 90.00°
Positions (direct):
La: 0.0000 0.0000 0.0000
Y: 0.0000 0.0000 0.5000
As: 0.0000 0.5000 0.5000
As: 0.5000 0.0000 0.5000
C: 0.5000 0.5000 0.0000


# 6
Below is a relaxed MgSb2Pb crystal, with properties calculated at the GGA-PBE level.

## Properties
The offset from the most stable computed form comes out at 90 meV/atom. The formation energy (no corrections) comes out at 0.0306 eV/atom.

a = 4.0625 Å, b = 4.0625 Å, c = 6.9145 Å
α = 90.00°, β = 90.00°, γ = 90.00°
Positions (direct):
Mg: 0.0000 0.0000 0.0000
Sb: 0.0000 0.0000 0.5656
Sb: 0.5000 0.5000 0.7329
Pb: 0.5000 0.5000 0.2041


# 7
Below is a relaxed AcScIn2 crystal, with properties calculated at the GGA-PBE level.

## Properties
The formation energy from the elements comes out at -0.276 eV per atom.

a = 4.9996 Å, b = 4.9996 Å, c = 4.6633 Å
α = 90.00°, β = 90.00°, γ = 90.00°
Positions (direct):
Ac: 0.0000 0.0000 0.0000
Sc: 0.5000 0.5000 0.0000
In: 0.0000 0.5000 0.5000
In: 0.5000 0.0000 0.5000


# 8
Below is a relaxed BaScNi crystal, with properties calculated at the GGA-PBE level.

## Properties
The offset from the most stable computed form comes out at 1190 meV/atom. The formation energy from the elements comes out at 1.024 eV per atom.

a = 4.8174 Å, b = 4.8174 Å, c = 4.8174 Å
α = 60.00°, β = 60.00°, γ = 60.00°
Positions (direct):
Ba: 0.0000 0.0000 0.0000
Sc: 0.2500 0.2500 0.2500
Ni: 0.7500 0.7500 0.7500


# 9
Below is a relaxed PdNCl crystal, with properties calculated at the GGA-PBE level.

## Properties
The offset from the most stable computed form comes out at 624 meV/atom. The formation energy (no corrections) comes out at 0.7361 eV/atom.

a = 5.4889 Å, b = 8.3311 Å, c = 7.3772 Å
α = 90.00°, β = 132.07°, γ = 90.00°
Positions (direct):
Pd: 0.0017 0.2500 0.0017
Pd: 0.0017 0.2500 0.5017
Pd: 0.9983 0.7500 0.4983
Pd: 0.9983 0.7500 0.9983
N: 0.0015 0.2490 0.2516
N: 0.0015 0.2510 0.7516
N: 0.9985 0.7490 0.2484
N: 0.9985 0.7510 0.7484
Cl: 0.4984 0.5931 0.7484
Cl: 0.4984 0.9069 0.2484
Cl: 0.5016 0.0931 0.7516
Cl: 0.5016 0.4069 0.2516


# 10
Below is a relaxed RuF crystal, with properties calculated at the GGA-PBE level.

## Properties
The offset from the most stable computed form comes out at 420 meV/atom. The formation energy (no corrections) comes out at -0.2649 eV/atom.

a = 6.1209 Å, b = 5.4742 Å, c = 5.2341 Å
α = 69.68°, β = 57.00°, γ = 53.31°
Positions (direct):
Ru: 0.0069 0.7431 0.0069
Ru: 0.2569 0.9931 0.2569
Ru: 0.7431 0.0069 0.7431
Ru: 0.9931 0.2569 0.9931
F: 0.2233 0.2233 0.5267
F: 0.4733 0.4733 0.7767
F: 0.5267 0.5267 0.2233
F: 0.7767 0.7767 0.4733


# 11
Below is a relaxed LiTe3O crystal, with properties calculated at the GGA-PBE level.

## Properties
The offset from the most stable computed form comes out at 0 meV/atom. The formation energy (no corrections) comes out at -0.1380 eV/atom.

a = 4.8563 Å, b = 4.8563 Å, c = 4.8563 Å
α = 90.00°, β = 90.00°, γ = 90.00°
Positions (direct):
Li: 0.0000 0.0000 0.0000
Te: 0.0000 0.5000 0.5000
Te: 0.5000 0.0000 0.5000
Te: 0.5000 0.5000 0.0000
O: 0.5000 0.5000 0.5000


# 12
Below is a relaxed Nd4Y3Pu crystal, with properties calculated at the GGA-PBE level.

## Properties
The formation energy from the elements comes out at 0.150 eV per atom.

a = 8.9361 Å, b = 8.9361 Å, c = 8.9361 Å
α = 157.44°, β = 97.98°, γ = 86.42°
Positions (direct):
Nd: 0.1175 0.8694 0.2481
Nd: 0.3787 0.1306 0.2481
Nd: 0.6213 0.8694 0.7519
Nd: 0.8825 0.1306 0.7519
Y: 0.2338 0.7338 0.5000
Y: 0.5000 0.5000 0.0000
Y: 0.7662 0.2662 0.5000
Pu: 0.0000 0.0000 0.0000


# 13
Below is a relaxed YMn2Pd crystal, with properties calculated at the GGA-PBE level.

## Properties
The formation energy from the elements comes out at 0.343 eV per atom.

a = 9.7975 Å, b = 9.7975 Å, c = 9.7975 Å
α = 155.42°, β = 155.42°, γ = 35.04°
Positions (direct):
Y: 0.3750 0.6250 0.7500
Y: 0.6250 0.3750 0.2500
Mn: 0.0000 0.0000 0.0000
Mn: 0.0000 0.0000 0.5000
Mn: 0.0000 0.5000 0.0000
Mn: 0.5000 0.0000 0.5000
Pd: 0.1250 0.8750 0.2500
Pd: 0.8750 0.1250 0.7500


# 14
Below is a relaxed CaGa3Pt crystal, with properties calculated at the GGA-PBE level.

## Properties
The offset from the most stable computed form comes out at 20 meV/atom. The formation energy from the elements comes out at -0.644 eV per atom.

a = 8.3135 Å, b = 4.3068 Å, c = 10.9993 Å
α = 90.00°, β = 90.00°, γ = 90.00°
Positions (direct):
Ca: 0.1999 0.2500 0.0123
Ca: 0.3001 0.7500 0.5123
Ca: 0.6999 0.2500 0.4877
Ca: 0.8001 0.7500 0.9877
Ga: 0.0635 0.2500 0.5920
Ga: 0.1046 0.7500 0.8076
Ga: 0.1432 0.7500 0.2108
Ga: 0.3568 0.2500 0.7108
Ga: 0.3954 0.2500 0.3076
Ga: 0.4365 0.7500 0.0920
Ga: 0.5635 0.2500 0.9080
Ga: 0.6046 0.7500 0.6924
Ga: 0.6432 0.7500 0.2892
Ga: 0.8568 0.2500 0.7892
Ga: 0.8954 0.2500 0.1924
Ga: 0.9365 0.7500 0.4080
Pt: 0.1027 0.2500 0.3562
Pt: 0.3973 0.7500 0.8562
Pt: 0.6027 0.2500 0.1438
Pt: 0.8973 0.7500 0.6438


# 15
Below is a relaxed MgSc2Co crystal, with properties calculated at the GGA-PBE level.

## Properties
The formation energy from the elements comes out at -0.050 eV per atom.

a = 3.3594 Å, b = 6.7414 Å, c = 6.7414 Å
α = 33.01°, β = 90.00°, γ = 90.00°
Positions (direct):
Mg: 0.0000 0.0000 0.0000
Sc: 0.0000 0.6941 0.6941
Sc: 0.5000 0.3519 0.3519
Co: 0.5000 0.1632 0.1632


# 16
Below is a relaxed KRb2W crystal, with properties calculated at the GGA-PBE level.

## Properties
The offset from the most stable computed form comes out at 118 meV/atom. The formation energy from the elements comes out at 1.642 eV per atom.

a = 14.3976 Å, b = 14.3976 Å, c = 14.3976 Å
α = 156.91°, β = 156.91°, γ = 32.88°
Positions (direct):
K: 0.0000 0.0000 0.0000
K: 0.7500 0.2500 0.5000
Rb: 0.1491 0.6250 0.0241
Rb: 0.3750 0.3991 0.5241
Rb: 0.6009 0.1250 0.9759
Rb: 0.8750 0.8509 0.4759
W: 0.2500 0.7500 0.5000
W: 0.5000 0.5000 0.0000


# 17
Below is a relaxed Sc2AsCl crystal, with properties calculated at the GGA-PBE level.

## Properties
The formation energy (no corrections) comes out at -1.0830 eV/atom.

a = 4.7558 Å, b = 4.7558 Å, c = 4.7558 Å
α = 60.00°, β = 60.00°, γ = 60.00°
Positions (direct):
Sc: 0.2500 0.2500 0.2500
Sc: 0.7500 0.7500 0.7500
As: 0.0000 0.0000 0.0000
Cl: 0.5000 0.5000 0.5000


# 18
Below is a relaxed CuPSO2 crystal, with properties calculated at the GGA-PBE level.

## Properties
The formation energy (no corrections) comes out at -0.5854 eV/atom.

a = 3.3562 Å, b = 3.3562 Å, c = 5.0370 Å
α = 90.00°, β = 90.00°, γ = 90.00°
Positions (direct):
Cu: 0.0000 0.0000 0.0000
P: 0.5000 0.5000 0.5000
S: 0.5000 0.5000 0.0000
O: 0.0000 0.5000 0.5000
O: 0.5000 0.0000 0.5000


# 19
Below is a relaxed Ni2RuRh4 crystal, with properties calculated at the GGA-PBE level.

## Properties
The offset from the most stable computed form comes out at 0 meV/atom. The formation energy from the elements comes out at 0.306 eV per atom.

a = 5.2280 Å, b = 5.2280 Å, c = 5.2280 Å
α = 119.32°, β = 119.32°, γ = 91.18°
Positions (direct):
Ni: 0.0000 0.5000 0.5000
Ni: 0.5000 0.0000 0.5000
Ru: 0.0000 0.0000 0.0000
Rh: 0.0000 0.0000 0.5000
Rh: 0.0000 0.5000 0.0000
Rh: 0.5000 0.0000 0.0000
Rh: 0.5000 0.5000 0.5000


# 20
Below is a relaxed LiPr3Zn2 crystal, with properties calculated at the GGA-PBE level.

## Properties
The formation energy from the elements comes out at -0.185 eV per atom.

a = 3.7627 Å, b = 3.7627 Å, c = 11.2656 Å
α = 90.00°, β = 90.00°, γ = 90.00°
Positions (direct):
Li: 0.0000 0.0000 0.0000
Pr: 0.5000 0.5000 0.1816
Pr: 0.5000 0.5000 0.5000
Pr: 0.5000 0.5000 0.8184
Zn: 0.0000 0.0000 0.3355
Zn: 0.0000 0.0000 0.6645